DFT (GGA-PBE) results for TaSiPO after structural relaxation.

The structure in POSCAR format:
```
TaSiPO
1.0
3.2523 0.0000 0.0000
0.0000 5.0314 0.0000
0.0000 0.0000 6.9754
Ta Si P O
2 2 2 2
Cartesian
0.0000 1.1815 0.0000
0.0000 3.8499 3.4877
1.6261 0.8069 4.0380
1.6261 4.2245 0.5503
0.0000 1.3123 2.5250
0.0000 3.7191 6.0127
1.6261 1.4003 5.5965
1.6261 3.6311 2.1088
```

- Theoretical density: 7.4 g/cm³
- Total energy: -7.711 eV/atom
- Space group: Pmc2_1


DFT (GGA-PBE) results for TaSiPO after structural relaxation.

The structure in POSCAR format:
```
TaSiPO
1.0
3.9017 0.0000 0.0000
0.0000 3.9017 0.0000
0.0000 0.0000 8.7956
Ta Si P O
2 2 2 2
Cartesian
0.9754 2.9263 0.0000
2.9263 0.9754 0.0000
0.9754 0.9754 3.8190
2.9263 2.9263 4.9766
0.9754 0.9754 1.5948
2.9263 2.9263 7.2008
0.9754 2.9263 4.3978
2.9263 0.9754 4.3978
```

- Theoretical density: 6.3 g/cm³
- Total energy: -7.470 eV/atom
- Space group: P4/nmm


DFT (GGA-PBE) results for SiTcPO after structural relaxation.

The structure in POSCAR format:
```
SiTcPO
1.0
3.2222 0.0000 0.0000
0.0000 7.9058 0.0000
0.0000 0.0000 4.5421
Si Tc P O
2 2 2 2
Cartesian
0.0000 1.0888 0.0000
0.0000 6.8170 2.2711
1.6111 2.8892 0.2751
1.6111 5.0167 2.5462
1.6111 2.6303 2.5396
1.6111 5.2755 0.2686
0.0000 0.3747 3.0432
0.0000 7.5311 0.7721
```

- Theoretical density: 5.0 g/cm³
- Total energy: -7.456 eV/atom
- Space group: Pmc2_1


DFT (GGA-PBE) results for SiTcPO after structural relaxation.

The structure in POSCAR format:
```
SiTcPO
1.0
3.2831 0.0000 0.0000
0.0000 3.2831 0.0000
0.0000 0.0000 9.7626
Si Tc P O
2 2 2 2
Cartesian
0.8208 2.4623 0.0000
2.4623 0.8208 0.0000
0.8208 0.8208 3.5694
2.4623 2.4623 6.1933
0.8208 0.8208 7.4391
2.4623 2.4623 2.3235
0.8208 2.4623 4.8813
2.4623 0.8208 4.8813
```

- Theoretical density: 5.5 g/cm³
- Total energy: -6.568 eV/atom
- Space group: P4/nmm


no.,distance to the lowest polymorph of the same formula (kJ per mole of atoms)
1,0.0
2,23.2
3,0.0
4,85.7